[1]
Here is KFe2Pt after structural relaxation from Alexandria. Energies are from PBE.

Cell: 2.976 2.976 8.382 Å, 90.00 90.00 90.00°
Atoms (fractional coordinates):
K  0.000  0.000  0.000
Fe  0.000  0.000  0.492
Fe  0.500  0.500  0.647
Pt  0.500  0.500  0.306

Results
Final energy, eV/atom: -5.655
Formation enthalpy at 0 K, kcal/mol of atoms: 8.320
Fermi-level density of states, states/eV per atom: 0.816

***

[2]
Here is KFe2Pt after structural relaxation from Alexandria. Energies are from PBE.

Cell: 2.727 4.944 5.120 Å, 90.00 90.00 90.00°
Atoms (fractional coordinates):
K  0.000  0.000  0.000
Fe  0.000  0.500  0.500
Fe  0.500  0.500  0.000
Pt  0.500  0.000  0.500

Results
Final energy, eV/atom: -5.154
Formation enthalpy at 0 K, kcal/mol of atoms: 19.878
Fermi-level density of states, states/eV per atom: 1.164